A plane-wave DFT calculation with GGA-PBE was carried out for YAsSe2S after structural relaxation.

```
YAsSe2S
1.0
-0.768 -3.533 -3.992
5.328 -0.376 -0.693
0.187 -4.307 3.775
Y As S Se
1 1 1 2
direct
0.000 0.000 0.000 Y
0.000 0.000 0.500 As
0.500 0.500 0.500 S
0.500 0.000 0.000 Se
0.000 0.500 0.000 Se
```

Properties
Total energy ... -4.083 eV/atom
Symmetry ... P4/mmm, No. 123
M_tot ... 1.307 μB per formula unit
Offset from the most stable computed form ... 606 meV per atom
Formation energy from raw total energies ... 35 kJ/mol of atoms

A plane-wave DFT calculation with GGA-PBE was carried out for Y6As2SeS3 after structural relaxation.

```
Y6As2SeS3
1.0
4.019 0.000 0.000
0.000 8.027 0.305
-2.010 -2.296 8.451
Y Se S As
6 1 3 2
direct
0.328 0.916 0.656 Y
0.334 0.415 0.667 Y
0.999 0.263 0.999 Y
0.672 0.084 0.344 Y
0.666 0.585 0.333 Y
0.001 0.737 0.001 Y
0.500 0.000 0.000 Se
0.500 0.500 0.000 S
0.835 0.166 0.670 S
0.165 0.834 0.330 S
0.834 0.668 0.668 As
0.166 0.332 0.332 As
```

Properties
Total energy ... -7.169 eV/atom
Symmetry ... C2/m, No. 12
M_tot ... 0.000 μB per formula unit
Formation energy from raw total energies ... -177 kJ/mol of atoms

A plane-wave DFT calculation with GGA-PBE was carried out for Y4As2SeS after structural relaxation.

```
Y4As2SeS
1.0
4.076 0.000 0.000
0.000 7.038 -0.127
0.000 2.488 6.610
Se Y As S
1 4 2 1
direct
0.500 0.500 0.000 Se
0.500 0.247 0.746 Y
0.000 0.243 0.258 Y
0.000 0.757 0.742 Y
0.500 0.753 0.254 Y
0.000 0.000 0.000 As
0.500 0.000 0.500 As
0.000 0.500 0.500 S
```

Properties
Total energy ... -7.104 eV/atom
Symmetry ... P2/m, No. 10
M_tot ... 0.000 μB per formula unit
Formation energy from raw total energies ... -170 kJ/mol of atoms

A plane-wave DFT calculation with GGA-PBE was carried out for Y8As3Se4S after structural relaxation.

```
Y8As3Se4S
1.0
-0.888 -4.056 -7.013
2.573 -6.874 3.650
-6.279 4.144 3.134
Y Se S As
8 4 1 3
direct
0.243 0.735 0.991 Y
0.757 0.265 0.009 Y
0.757 0.265 0.513 Y
0.746 0.738 0.492 Y
0.254 0.262 0.508 Y
0.748 0.735 0.991 Y
0.243 0.735 0.487 Y
0.252 0.265 0.009 Y
0.500 0.000 0.000 Se
0.000 0.000 0.500 Se
0.500 0.000 0.500 Se
0.000 0.000 0.000 Se
0.000 0.500 0.000 S
0.500 0.500 0.000 As
0.500 0.500 0.500 As
0.000 0.500 0.500 As
```

Properties
Total energy ... -7.000 eV/atom
Symmetry ... R-3m, No. 166
M_tot ... 0.000 μB per formula unit
Formation energy from raw total energies ... -171 kJ/mol of atoms

A plane-wave DFT calculation with GGA-PBE was carried out for Y8As4Se3S after structural relaxation.

```
Y8As4Se3S
1.0
-1.092 -7.800 -2.222
6.546 0.478 -4.897
0.669 1.943 7.921
Se As S Y
3 4 1 8
direct
0.500 0.500 0.500 Se
0.000 0.500 0.500 Se
0.500 0.500 0.000 Se
0.000 0.000 0.000 As
0.000 0.000 0.500 As
0.500 0.000 0.500 As
0.500 0.000 0.000 As
0.000 0.500 0.000 S
0.754 0.762 0.508 Y
0.242 0.242 0.992 Y
0.750 0.242 0.499 Y
0.246 0.238 0.492 Y
0.758 0.758 0.008 Y
0.250 0.758 0.501 Y
0.750 0.242 0.992 Y
0.250 0.758 0.008 Y
```

Properties
Total energy ... -7.048 eV/atom
Symmetry ... R-3m, No. 166
M_tot ... 0.000 μB per formula unit
Formation energy from raw total energies ... -168 kJ/mol of atoms

A plane-wave DFT calculation with GGA-PBE was carried out for Y6AsSe3S2 after structural relaxation.

```
Y6AsSe3S2
1.0
6.958 0.000 0.001
-3.478 6.027 0.001
-1.160 -2.008 6.693
Se Y S As
3 6 2 1
direct
0.835 0.165 0.500 Se
0.165 0.835 0.500 Se
0.500 0.500 0.500 Se
0.737 0.737 0.228 Y
0.077 0.415 0.228 Y
0.585 0.923 0.772 Y
0.923 0.585 0.772 Y
0.415 0.077 0.228 Y
0.263 0.263 0.772 Y
0.333 0.667 0.000 S
0.667 0.333 0.000 S
0.000 0.000 0.000 As
```

Properties
Total energy ... -7.016 eV/atom
Symmetry ... C2/m, No. 12
M_tot ... 0.000 μB per formula unit
Formation energy from raw total energies ... -177 kJ/mol of atoms

Please write out number 2 again, unchanged.
A plane-wave DFT calculation with GGA-PBE was carried out for Y6As2SeS3 after structural relaxation.

```
Y6As2SeS3
1.0
4.019 0.000 0.000
0.000 8.027 0.305
-2.010 -2.296 8.451
Y Se S As
6 1 3 2
direct
0.328 0.916 0.656 Y
0.334 0.415 0.667 Y
0.999 0.263 0.999 Y
0.672 0.084 0.344 Y
0.666 0.585 0.333 Y
0.001 0.737 0.001 Y
0.500 0.000 0.000 Se
0.500 0.500 0.000 S
0.835 0.166 0.670 S
0.165 0.834 0.330 S
0.834 0.668 0.668 As
0.166 0.332 0.332 As
```

Properties
Total energy ... -7.169 eV/atom
Symmetry ... C2/m, No. 12
M_tot ... 0.000 μB per formula unit
Formation energy from raw total energies ... -177 kJ/mol of atoms

Question: Which of these has the highest total energy?
Answer: YAsSe2S